# 1
A plane-wave DFT calculation with PBE was carried out for a geometry-optimized MgFePb structure.

a b c (Å): 4.6681 4.6681 3.1947
angles (deg): 90.00 90.00 120.00
Space group P3m1 (No. 156)
Inequivalent atoms, fractional coordinates:
Mg 0.0000 0.0000 0.0000 [1 per cell]
Fe 0.3333 0.6667 0.4972 [1 per cell]
Pb 0.6667 0.3333 0.5028 [1 per cell]

Calculated values
**Total moment**: 0.735 μB per atom
**Energy above the lowest structure with this stoichiometry**: 70 meV/atom
**Energy of formation from the pure elements**: 0.421 eV per atom



# 2
A plane-wave DFT calculation with PBE was carried out for a geometry-optimized MgFePb structure.

a b c (Å): 6.409 6.409 6.409
angles (deg): 90.00 90.00 90.00
Space group F-43m (No. 216)
Inequivalent atoms, fractional coordinates:
Mg 0.000 0.000 0.000 [4 per cell]
Fe 0.250 0.250 0.750 [4 per cell]
Pb 0.000 0.000 0.500 [4 per cell]

Calculated values
**Total moment**: 0.822 μB per atom
**Energy above the lowest structure with this stoichiometry**: 21 meV/atom
**Energy of formation from the pure elements**: 0.372 eV per atom



# 3
A plane-wave DFT calculation with PBE was carried out for a geometry-optimized Mg3FePb structure.

a b c (Å): 4.895 4.895 4.895
angles (deg): 90.00 90.00 90.00
Space group Pm-3m (No. 221)
Inequivalent atoms, fractional coordinates:
Mg 0.000 0.000 0.500 [3 per cell]
Fe 0.000 0.000 0.000 [1 per cell]
Pb 0.500 0.500 0.500 [1 per cell]

Calculated values
**Total moment**: 0.000 μB per atom
**Energy above the lowest structure with this stoichiometry**: 0 meV/atom
**Energy of formation from the pure elements**: 0.487 eV per atom



# 4
A plane-wave DFT calculation with PBE was carried out for a geometry-optimized MgFe4Pb structure.

a b c (Å): 7.082 7.082 7.082
angles (deg): 90.00 90.00 90.00
Space group F-43m (No. 216)
Inequivalent atoms, fractional coordinates:
Mg 0.000 0.000 0.000 [4 per cell]
Fe 0.126 0.126 0.374 [16 per cell]
Pb 0.250 0.250 0.750 [4 per cell]

Calculated values
**Total moment**: 1.453 μB per atom
**Energy of formation from the pure elements**: 0.215 eV per atom



# 5
A plane-wave DFT calculation with PBE was carried out for a geometry-optimized RbMgFePb2 structure.

a b c (Å): 5.532 5.532 6.189
angles (deg): 90.00 90.00 90.00
Space group P4/mmm (No. 123)
Inequivalent atoms, fractional coordinates:
Rb 0.000 0.000 0.000 [1 per cell]
Mg 0.000 0.000 0.500 [1 per cell]
Fe 0.500 0.500 0.000 [1 per cell]
Pb 0.000 0.500 0.500 [2 per cell]

Calculated values
**Total moment**: 0.640 μB per atom
**Energy of formation from the pure elements**: 0.991 eV per atom



# 6
A plane-wave DFT calculation with PBE was carried out for a geometry-optimized MgFe2RhPb structure.

a b c (Å): 4.890 4.890 5.093
angles (deg): 90.00 90.00 90.00
Space group P4/mmm (No. 123)
Inequivalent atoms, fractional coordinates:
Mg 0.000 0.000 0.000 [1 per cell]
Fe 0.000 0.500 0.500 [2 per cell]
Rh 0.500 0.500 0.000 [1 per cell]
Pb 0.000 0.000 0.500 [1 per cell]

Calculated values
**Total moment**: 0.083 μB per atom
**Energy of formation from the pure elements**: 1.964 eV per atom



# 7
A plane-wave DFT calculation with PBE was carried out for a geometry-optimized MgFeSbPb2 structure.

a b c (Å): 5.254 5.254 4.978
angles (deg): 90.00 90.00 90.00
Space group P4/mmm (No. 123)
Inequivalent atoms, fractional coordinates:
Mg 0.000 0.000 0.000 [1 per cell]
Fe 0.500 0.500 0.500 [1 per cell]
Sb 0.500 0.500 0.000 [1 per cell]
Pb 0.000 0.500 0.500 [2 per cell]

Calculated values
**Total moment**: 0.331 μB per atom
**Energy above the lowest structure with this stoichiometry**: 0 meV/atom
**ΔE_f (raw)**: 0.289 eV/atom



# 8
A plane-wave DFT calculation with PBE was carried out for a geometry-optimized MgFeSbPb2 structure.

a b c (Å): 5.453 5.453 4.686
angles (deg): 90.00 90.00 90.00
Space group P4/mmm (No. 123)
Inequivalent atoms, fractional coordinates:
Mg 0.000 0.000 0.000 [1 per cell]
Fe 0.000 0.000 0.500 [1 per cell]
Sb 0.500 0.500 0.500 [1 per cell]
Pb 0.000 0.500 0.000 [2 per cell]

Calculated values
**Total moment**: 0.011 μB per atom
**Energy above the lowest structure with this stoichiometry**: 729 meV/atom
**ΔE_f (raw)**: 1.018 eV/atom



# 9
A plane-wave DFT calculation with PBE was carried out for a geometry-optimized MgFe2PbSe structure.

a b c (Å): 5.041 5.041 5.365
angles (deg): 90.00 90.00 90.00
Space group P4/mmm (No. 123)
Inequivalent atoms, fractional coordinates:
Mg 0.000 0.000 0.000 [1 per cell]
Fe 0.000 0.500 0.500 [2 per cell]
Pb 0.000 0.000 0.500 [1 per cell]
Se 0.500 0.500 0.000 [1 per cell]

Calculated values
**Total moment**: 1.537 μB per atom
**ΔE_f (raw)**: 1.128 eV/atom



# 10
A plane-wave DFT calculation with PBE was carried out for a geometry-optimized MgFeSnPb2 structure.

a b c (Å): 5.869 5.869 4.882
angles (deg): 90.00 90.00 90.00
Space group P4/mmm (No. 123)
Inequivalent atoms, fractional coordinates:
Mg 0.000 0.000 0.000 [1 per cell]
Fe 0.500 0.500 0.000 [1 per cell]
Sn 0.500 0.500 0.500 [1 per cell]
Pb 0.000 0.500 0.500 [2 per cell]

Calculated values
**Total moment**: 0.509 μB per atom
**Energy of formation from the pure elements**: 0.810 eV per atom



# 11
A plane-wave DFT calculation with PBE was carried out for a geometry-optimized MgFePd4 structure.

a b c (Å): 7.264 4.196 7.200
angles (deg): 90.00 109.55 90.00
Space group C2/m (No. 12)
Inequivalent atoms, fractional coordinates:
Mg 0.000 0.000 0.000 [2 per cell]
Fe 0.000 0.500 0.500 [2 per cell]
Pd 0.122 0.500 0.866 [4 per cell]
Pd 0.129 0.000 0.386 [4 per cell]

Calculated values
**Total moment**: 0.687 μB per atom
**Energy of formation from the pure elements**: -0.038 eV per atom



# 12
A plane-wave DFT calculation with PBE was carried out for a geometry-optimized MgFe2Pd2 structure.

a b c (Å): 7.389 7.389 2.805
angles (deg): 90.00 90.00 90.00
Space group P4/mbm (No. 127)
Inequivalent atoms, fractional coordinates:
Mg 0.000 0.000 0.000 [2 per cell]
Fe 0.112 0.388 0.000 [4 per cell]
Pd 0.182 0.682 0.500 [4 per cell]

Calculated values
**Total moment**: 1.263 μB per atom
**Energy of formation from the pure elements**: -0.067 eV per atom



Number 3 is which compound?
Mg3FePb



total moment of number 5 (RbMgFePb2)?
0.640 μB per atom



Please write out number 5 again, unchanged.
A plane-wave DFT calculation with PBE was carried out for a geometry-optimized RbMgFePb2 structure.

a b c (Å): 5.532 5.532 6.189
angles (deg): 90.00 90.00 90.00
Space group P4/mmm (No. 123)
Inequivalent atoms, fractional coordinates:
Rb 0.000 0.000 0.000 [1 per cell]
Mg 0.000 0.000 0.500 [1 per cell]
Fe 0.500 0.500 0.000 [1 per cell]
Pb 0.000 0.500 0.500 [2 per cell]

Calculated values
**Total moment**: 0.640 μB per atom
**Energy of formation from the pure elements**: 0.991 eV per atom